1.
Entry from Alexandria: an optimized crystal structure of Tl6Bi2Pb (PBE).

Computed properties:
crystal system: monoclinic
M_tot: 0.00 μB per formula unit
energy above the lowest structure with this stoichiometry: 0 kJ/mol of formula units
calculated formation energy: -19.7 meV/atom
calculated volume: 31.9 Å³ per atom
calculated total energy: -0.10553 Ha/atom

a = 11.334 Å, b = 5.094 Å, c = 10.647 Å
α = 90.00°, β = 111.01°, γ = 90.00°
Space group C2/m (No. 12)
One atom of each set of equivalent atoms:
Tl 0.002 0.000 0.175 x4
Tl 0.168 0.500 0.054 x4
Tl 0.168 0.500 0.393 x4
Bi 0.165 0.500 0.720 x4
Pb 0.000 0.000 0.500 x2

---

2.
Entry from Alexandria: an optimized crystal structure of TlBi2Pb8 (PBE).

Computed properties:
crystal system: monoclinic
M_tot: 0.00 μB per formula unit
energy above the lowest structure with this stoichiometry: 0 kJ/mol of formula units
calculated formation energy: 88.0 meV/atom
calculated volume: 33.4 Å³ per atom
calculated total energy: -0.12972 Ha/atom

a = 10.311 Å, b = 14.039 Å, c = 5.071 Å
α = 90.00°, β = 90.56°, γ = 90.00°
Space group C2/m (No. 12)
One atom of each set of equivalent atoms:
Tl 0.000 0.000 0.000 x2
Bi 0.000 0.382 0.500 x4
Pb 0.000 0.235 0.000 x4
Pb 0.171 0.500 0.001 x4
Pb 0.175 0.134 0.503 x8